VASP calculation (GGA-PBE) on TmTe4P after structural relaxation.

The structure in POSCAR format:
```
TmTe4P
1.0
7.300 0.000 0.000
1.352 7.330 0.000
0.294 0.319 8.010
P Te Tm
2 8 2
Cartesian
6.062 5.468 1.557
2.884 2.180 6.453
3.308 2.110 0.828
7.806 7.267 1.822
7.599 3.523 2.000
4.069 5.798 2.950
4.878 1.850 5.060
1.347 4.126 6.010
1.141 0.381 6.188
5.639 5.538 7.182
2.448 5.179 0.470
6.499 2.470 7.539
```

Values from the calculation:
E ... -4.17 eV/atom

***

VASP calculation (GGA-PBE) on DyTmBi3 after structural relaxation.

The structure in POSCAR format:
```
DyTmBi3
1.0
5.754 0.000 0.000
0.000 5.754 0.000
0.000 0.000 5.754
Bi Dy Tm
3 1 1
Cartesian
2.877 2.877 0.000
2.877 0.000 2.877
0.000 2.877 2.877
2.877 2.877 2.877
0.000 0.000 0.000
```

Values from the calculation:
E ... -3.99 eV/atom

***

VASP calculation (GGA-PBE) on Ba2ReSbP6 after structural relaxation.

The structure in POSCAR format:
```
Ba2ReSbP6
1.0
-5.478 5.018 -2.826
-7.909 -0.462 0.648
0.221 2.558 4.192
Ba P Re Sb
2 6 1 1
Cartesian
-4.006 2.284 0.800
-9.159 4.830 1.213
-11.612 4.190 -1.514
-7.336 4.549 -1.423
-8.556 1.799 0.321
-4.610 5.315 1.693
-5.830 2.565 3.436
-1.554 2.924 3.527
-6.694 2.278 -1.089
0.111 1.279 2.096
```

Values from the calculation:
E ... -5.55 eV/atom

***

VASP calculation (GGA-PBE) on AgBiB4 after structural relaxation.

The structure in POSCAR format:
```
AgBiB4
1.0
-1.396 2.402 1.397
-0.338 -2.873 1.141
7.048 1.170 5.033
Ag B Bi
1 4 1
Cartesian
3.524 0.585 2.516
0.887 0.964 2.690
1.240 -0.794 2.605
4.073 1.493 4.966
4.426 -0.265 4.881
0.000 0.000 0.000
```

Values from the calculation:
Relative energy among the computed polymorphs ... 11 meV/atom

***

VASP calculation (GGA-PBE) on TmLuTlTe3 after structural relaxation.

The structure in POSCAR format:
```
TmLuTlTe3
1.0
2.169 -7.650 0.000
2.169 7.650 0.000
0.000 0.000 11.868
Lu Te Tl Tm
2 6 2 2
Cartesian
2.169 0.000 0.000
2.169 0.000 5.934
2.169 -5.499 0.288
2.169 -0.974 2.967
2.169 -5.499 5.646
2.169 5.499 6.222
2.169 0.974 8.901
2.169 5.499 11.580
2.169 3.788 2.967
2.169 -3.788 8.901
2.169 -6.618 2.967
2.169 6.618 8.901
```

Values from the calculation:
Relative energy among the computed polymorphs ... 67 meV/atom

***

VASP calculation (GGA-PBE) on KYNiTe3 after structural relaxation.

The structure in POSCAR format:
```
KYNiTe3
1.0
16.326 0.000 0.000
0.000 4.265 0.000
0.000 0.000 11.352
K Ni Te Y
4 4 12 4
Cartesian
11.927 1.066 0.260
3.764 1.066 5.416
12.562 3.199 5.936
4.399 3.199 11.092
8.377 3.199 1.262
0.214 3.199 4.414
16.112 1.066 6.938
7.949 1.066 10.091
14.628 3.199 0.947
7.038 1.066 1.102
10.420 3.199 2.766
2.257 3.199 2.911
15.201 1.066 4.574
6.465 3.199 4.729
9.861 1.066 6.623
1.125 3.199 6.779
14.069 1.066 8.442
5.906 1.066 8.587
9.288 3.199 10.250
1.698 1.066 10.405
0.364 1.066 1.782
8.527 1.066 3.894
7.799 3.199 7.458
15.962 3.199 9.570
```

Values from the calculation:
Relative energy among the computed polymorphs ... 1 meV/atom

***

VASP calculation (GGA-PBE) on NdGdW after structural relaxation.

The structure in POSCAR format:
```
NdGdW
1.0
-4.217 -2.272 1.066
-3.581 -0.224 -3.348
-1.092 -4.278 -2.143
Gd Nd W
1 1 1
Cartesian
0.000 0.000 0.000
-2.223 -1.694 -1.106
-6.668 -5.081 -3.319
```

Values from the calculation:
Relative energy among the computed polymorphs ... 0 meV/atom
ΔH_f (0 K) ... 1.438 eV/atom

***

VASP calculation (GGA-PBE) on La2DyIn3AgPt2 after structural relaxation.

The structure in POSCAR format:
```
La2DyIn3AgPt2
1.0
4.005 0.000 0.000
0.000 6.821 3.939
0.000 -6.821 3.939
Ag Dy In La Pt
1 1 3 2 2
Cartesian
0.000 0.000 7.858
0.000 0.000 4.614
2.003 0.000 2.081
2.003 1.733 6.829
2.003 -1.733 6.829
0.000 2.834 1.637
0.000 -2.834 1.637
2.003 2.218 3.953
2.003 -2.218 3.953
```

Values from the calculation:
E ... -5.00 eV/atom